Computed, not measured: a relaxed CoPH2F crystal at the PBE with a Hubbard U level of DFT.

CIF file:
```
data_CoPH2F
_cell_length_a 3.2454
_cell_length_b 3.2454
_cell_length_c 4.8789
_cell_angle_alpha 90.00
_cell_angle_beta 90.00
_cell_angle_gamma 90.00
_symmetry_space_group_name_H-M 'P 4/m m m'
_symmetry_Int_Tables_number 123
_symmetry_space_group_name_Hall '-P 4 2'
loop_
_atom_site_label
_atom_site_type_symbol
_atom_site_fract_x
_atom_site_fract_y
_atom_site_fract_z
Co1 Co 0.0000 0.0000 0.0000
P1 P 0.0000 0.0000 0.5000
H1 H 0.0000 0.5000 0.5000
F1 F 0.5000 0.5000 0.0000
```

Calculated values
For the energy, the calculation gives -4.078 eV per atom.